# K2MnCo (PBE, relaxed)
data_K2MnCo
_cell_length_a 4.4483
_cell_length_b 4.1412
_cell_length_c 5.5581
_cell_angle_alpha 90.00
_cell_angle_beta 90.00
_cell_angle_gamma 90.00
_space_group_name_H-M_alt 'P 1'
_space_group_IT_number 1
loop_
_space_group_symop_operation_xyz
'x,y,z'
loop_
_atom_site_label
_atom_site_fract_x
_atom_site_fract_y
_atom_site_fract_z
Co1 0.0000 0.5000 0.5000
K1 0.0000 0.0000 0.0000
K2 0.5000 0.5000 0.0000
Mn1 0.5000 0.0000 0.5000
# **Magnetization**: 5.5 μB per cell
# **Total energy**: -3.40 eV per atom
# **Energy relative to the elements**: 4.9 eV per formula unit

---

# KMn2Co (PBE, relaxed)
data_KMn2Co
_cell_length_a 2.5800
_cell_length_b 3.8372
_cell_length_c 7.2743
_cell_angle_alpha 90.00
_cell_angle_beta 90.00
_cell_angle_gamma 90.00
_space_group_name_H-M_alt 'P 1'
_space_group_IT_number 1
loop_
_space_group_symop_operation_xyz
'x,y,z'
loop_
_atom_site_label
_atom_site_fract_x
_atom_site_fract_y
_atom_site_fract_z
Co1 0.5000 0.5000 0.2500
K1 0.5000 0.5000 0.7500
Mn1 0.0000 0.0000 0.1178
Mn2 0.0000 0.0000 0.3822
# **Magnetization**: 1.0 μB per cell
# **Total energy**: -5.75 eV per atom
# **Energy relative to the elements**: 3.6 eV per formula unit

---

# K2MnCo (PBE, relaxed)
data_K2MnCo
_cell_length_a 5.6781
_cell_length_b 5.6781
_cell_length_c 5.6781
_cell_angle_alpha 60.00
_cell_angle_beta 60.00
_cell_angle_gamma 60.00
_space_group_name_H-M_alt 'P 1'
_space_group_IT_number 1
loop_
_space_group_symop_operation_xyz
'x,y,z'
loop_
_atom_site_label
_atom_site_fract_x
_atom_site_fract_y
_atom_site_fract_z
K1 0.2500 0.2500 0.2500
K2 0.7500 0.7500 0.7500
Mn1 0.0000 0.0000 0.0000
Co1 0.5000 0.5000 0.5000
# **Magnetization**: 6.2 μB per cell
# **Total energy**: -3.29 eV per atom
# **Energy relative to the elements**: 5.3 eV per formula unit

---

# KMnCo2 (PBE, relaxed)
data_KMnCo2
_cell_length_a 5.8614
_cell_length_b 5.8614
_cell_length_c 5.8614
_cell_angle_alpha 153.57
_cell_angle_beta 126.17
_cell_angle_gamma 60.94
_space_group_name_H-M_alt 'P 1'
_space_group_IT_number 1
loop_
_space_group_symop_operation_xyz
'x,y,z'
loop_
_atom_site_label
_atom_site_fract_x
_atom_site_fract_y
_atom_site_fract_z
Co1 0.9919 0.9919 0.0000
Co2 0.7992 0.2992 0.5000
K1 0.5062 0.5062 0.0000
Mn1 0.2027 0.7027 0.5000
# **Magnetization**: 7.1 μB per cell
# **Total energy**: -5.19 eV per atom
# **Energy relative to the elements**: 3.7 eV per formula unit

---

> The highest magnetization belongs to which entry?

KMnCo2